A) SnHgSeO: relaxed, PBE.

Summary:
For the theoretical density, the calculation gives 7.5 Mg/m³.

abc: 4.011 4.011 13.149
angles: 90.00 90.00 120.00
Element x y z (fractional)
Hg: 0.333 0.667 0.257
Hg: 0.667 0.333 0.757
Sn: 0.000 0.000 0.488
Sn: 0.000 0.000 0.988
Se: 0.667 0.333 0.111
Se: 0.333 0.667 0.611
O: 0.000 0.000 0.833
O: 0.000 0.000 0.333

---

B) SnHgSeO: relaxed, PBE.

Summary:
For the theoretical density, the calculation gives 6.6 Mg/m³.

abc: 5.257 5.257 7.546
angles: 90.00 90.00 90.00
Element x y z (fractional)
O: 0.250 0.250 0.070
O: 0.750 0.750 0.930
Sn: 0.250 0.250 0.815
Sn: 0.750 0.750 0.185
Se: 0.750 0.250 0.500
Se: 0.250 0.750 0.500
Hg: 0.750 0.750 0.638
Hg: 0.250 0.250 0.362

---

Quick one: most stable of them? A)

---

A) SnHgSeO: relaxed, PBE.

Summary:
For the theoretical density, the calculation gives 7.7 Mg/m³.

abc: 3.979 3.979 13.035
angles: 90.00 90.00 120.00
Element x y z (fractional)
O: 0.000 0.000 0.322
O: 0.000 0.000 0.822
Sn: 0.667 0.333 0.768
Sn: 0.333 0.667 0.268
Hg: 0.000 0.000 0.994
Hg: 0.000 0.000 0.494
Se: 0.667 0.333 0.103
Se: 0.333 0.667 0.603

---

B) SnHgSeO: relaxed, PBE.

Summary:
For the theoretical density, the calculation gives 7.5 Mg/m³.

abc: 6.210 3.937 15.072
angles: 90.00 90.00 90.00
Element x y z (fractional)
Hg: 0.774 0.250 0.694
Hg: 0.274 0.250 0.806
Hg: 0.726 0.750 0.194
Hg: 0.226 0.750 0.306
Sn: 0.267 0.750 0.589
Sn: 0.233 0.250 0.089
Sn: 0.733 0.250 0.411
Sn: 0.767 0.750 0.911
Se: 0.761 0.750 0.578
Se: 0.239 0.250 0.422
Se: 0.739 0.250 0.078
Se: 0.261 0.750 0.922
O: 0.733 0.750 0.339
O: 0.767 0.250 0.839
O: 0.233 0.750 0.161
O: 0.267 0.250 0.661

---

Quick one: most stable of them? A)

---

A) SnHgSeO: relaxed, PBE.

Summary:
For the theoretical density, the calculation gives 7.4 Mg/m³.

abc: 4.037 4.037 11.352
angles: 90.00 90.00 90.00
Element x y z (fractional)
Sn: 0.250 0.250 0.607
Sn: 0.750 0.750 0.393
Hg: 0.750 0.250 0.000
Hg: 0.250 0.750 0.000
Se: 0.250 0.250 0.170
Se: 0.750 0.750 0.830
O: 0.750 0.750 0.572
O: 0.250 0.250 0.428

---

B) SnHgSeO: relaxed, PBE.

Summary:
For the theoretical density, the calculation gives 6.8 Mg/m³.

abc: 5.140 5.140 7.665
angles: 90.00 90.00 90.00
Element x y z (fractional)
Sn: 0.750 0.750 0.638
Sn: 0.250 0.250 0.362
Se: 0.250 0.750 0.500
Se: 0.750 0.250 0.500
Hg: 0.250 0.250 0.823
Hg: 0.750 0.750 0.177
O: 0.750 0.750 0.887
O: 0.250 0.250 0.113

---

Quick one: most stable of them? A)

---

A) SnHgSeO: relaxed, PBE.

Summary:
For the theoretical density, the calculation gives 7.1 Mg/m³.

abc: 7.926 7.785 6.296
angles: 90.00 90.00 90.00
Element x y z (fractional)
Hg: 0.417 0.635 0.053
Hg: 0.917 0.365 0.053
Hg: 0.083 0.635 0.553
Hg: 0.583 0.365 0.553
Se: 0.923 0.348 0.619
Se: 0.577 0.348 0.119
Se: 0.423 0.652 0.619
Se: 0.077 0.652 0.119
O: 0.530 0.082 0.651
O: 0.030 0.918 0.651
O: 0.470 0.918 0.151
O: 0.970 0.082 0.151
Sn: 0.129 0.093 0.427
Sn: 0.871 0.907 0.927
Sn: 0.371 0.093 0.927
Sn: 0.629 0.907 0.427

---

B) SnHgSeO: relaxed, PBE.

Summary:
For the theoretical density, the calculation gives 6.8 Mg/m³.

abc: 6.018 9.040 7.480
angles: 90.00 90.00 90.00
Element x y z (fractional)
Sn: 0.194 0.827 0.614
Sn: 0.306 0.173 0.114
Sn: 0.694 0.673 0.386
Sn: 0.806 0.327 0.886
Se: 0.184 0.348 0.370
Se: 0.316 0.652 0.870
Se: 0.684 0.152 0.630
Se: 0.816 0.848 0.130
O: 0.376 0.755 0.402
O: 0.624 0.255 0.098
O: 0.876 0.745 0.598
O: 0.124 0.245 0.902
Hg: 0.196 0.128 0.605
Hg: 0.696 0.372 0.395
Hg: 0.304 0.872 0.105
Hg: 0.804 0.628 0.895

---

Quick one: most stable of them? B)

---

A) SnHgSeO: relaxed, PBE.

Summary:
For the theoretical density, the calculation gives 6.5 Mg/m³.

abc: 6.014 4.259 16.431
angles: 90.00 90.00 90.00
Element x y z (fractional)
O: 0.226 0.250 0.207
O: 0.774 0.750 0.793
O: 0.274 0.750 0.707
O: 0.726 0.250 0.293
Hg: 0.326 0.250 0.528
Hg: 0.674 0.750 0.472
Hg: 0.826 0.250 0.972
Hg: 0.174 0.750 0.028
Sn: 0.445 0.750 0.811
Sn: 0.055 0.250 0.311
Sn: 0.945 0.750 0.689
Sn: 0.555 0.250 0.189
Se: 0.827 0.250 0.606
Se: 0.673 0.750 0.106
Se: 0.327 0.250 0.894
Se: 0.173 0.750 0.394

---

B) SnHgSeO: relaxed, PBE.

Summary:
For the theoretical density, the calculation gives 7.3 Mg/m³.

abc: 6.187 9.939 6.162
angles: 90.00 90.00 90.00
Element x y z (fractional)
Sn: 0.015 0.676 0.555
Sn: 0.515 0.324 0.555
Sn: 0.985 0.324 0.055
Sn: 0.485 0.676 0.055
O: 0.532 0.881 0.087
O: 0.968 0.881 0.587
O: 0.032 0.119 0.087
O: 0.468 0.119 0.587
Se: 0.012 0.663 0.066
Se: 0.988 0.337 0.566
Se: 0.512 0.337 0.066
Se: 0.488 0.663 0.566
Hg: 0.965 0.913 0.042
Hg: 0.535 0.913 0.542
Hg: 0.465 0.087 0.042
Hg: 0.035 0.087 0.542

---

Quick one: most stable of them? A)

---

A) SnHgSeO: relaxed, PBE.

Summary:
For the theoretical density, the calculation gives 6.7 Mg/m³.

abc: 4.966 4.966 8.334
angles: 90.00 90.00 90.00
Element x y z (fractional)
O: 0.250 0.250 0.409
O: 0.750 0.750 0.591
Sn: 0.250 0.750 0.000
Sn: 0.750 0.250 0.000
Hg: 0.250 0.250 0.699
Hg: 0.750 0.750 0.301
Se: 0.250 0.250 0.203
Se: 0.750 0.750 0.797

---

B) SnHgSeO: relaxed, PBE.

Summary:
For the theoretical density, the calculation gives 6.8 Mg/m³.

abc: 8.849 8.849 5.154
angles: 90.00 90.00 90.00
Element x y z (fractional)
Se: 0.579 0.521 0.739
Se: 0.421 0.021 0.761
Se: 0.079 0.979 0.261
Se: 0.921 0.479 0.239
Hg: 0.825 0.319 0.847
Hg: 0.325 0.181 0.153
Hg: 0.175 0.819 0.653
Hg: 0.675 0.681 0.347
O: 0.789 0.895 0.694
O: 0.211 0.395 0.806
O: 0.289 0.605 0.306
O: 0.711 0.105 0.194
Sn: 0.348 0.410 0.492
Sn: 0.652 0.910 0.008
Sn: 0.152 0.590 0.992
Sn: 0.848 0.090 0.508

---

Quick one: most stable of them? B)

---

A) TbHgSeO: relaxed, PBE.

Summary:
For the theoretical density, the calculation gives 9.2 Mg/m³.

abc: 4.026 4.026 10.098
angles: 90.00 90.00 90.00
Element x y z (fractional)
Tb: 0.750 0.750 0.894
Tb: 0.250 0.250 0.106
Se: 0.250 0.250 0.740
Se: 0.750 0.750 0.260
O: 0.750 0.250 0.000
O: 0.250 0.750 0.000
Hg: 0.750 0.250 0.500
Hg: 0.250 0.750 0.500

---

B) TbHgSeO: relaxed, PBE.

Summary:
For the theoretical density, the calculation gives 6.5 Mg/m³.

abc: 4.778 8.907 5.478
angles: 90.00 90.00 90.00
Element x y z (fractional)
Hg: 0.000 0.693 0.629
Hg: 0.000 0.307 0.129
O: 0.500 0.918 0.680
O: 0.500 0.082 0.180
Se: 0.000 0.307 0.634
Se: 0.000 0.693 0.134
Tb: 0.500 0.137 0.548
Tb: 0.500 0.863 0.048

---

C) TbHgSeO: relaxed, PBE.

Summary:
For the theoretical density, the calculation gives 8.2 Mg/m³.

abc: 7.527 7.068 6.909
angles: 90.00 91.19 90.00
Element x y z (fractional)
Tb: 0.555 0.643 0.191
Tb: 0.555 0.857 0.691
Tb: 0.445 0.357 0.809
Tb: 0.445 0.143 0.309
O: 0.549 0.344 0.105
O: 0.549 0.156 0.605
O: 0.451 0.656 0.895
O: 0.451 0.844 0.395
Se: 0.763 0.983 0.053
Se: 0.237 0.017 0.947
Se: 0.237 0.483 0.447
Se: 0.763 0.517 0.553
Hg: 0.984 0.691 0.006
Hg: 0.016 0.309 0.994
Hg: 0.984 0.809 0.506
Hg: 0.016 0.191 0.494

---

Quick one: most stable of them? A)

---

A) TmHgSeO: relaxed, PBE.

Summary:
For the theoretical density, the calculation gives 8.7 Mg/m³.

abc: 7.483 7.031 6.714
angles: 90.00 90.26 90.00
Element x y z (fractional)
Hg: 0.993 0.692 0.007
Hg: 0.007 0.308 0.993
Hg: 0.993 0.808 0.507
Hg: 0.007 0.192 0.493
O: 0.554 0.347 0.104
O: 0.446 0.653 0.896
O: 0.446 0.847 0.396
O: 0.554 0.153 0.604
Se: 0.241 0.023 0.950
Se: 0.241 0.477 0.450
Se: 0.759 0.523 0.550
Se: 0.759 0.977 0.050
Tm: 0.456 0.141 0.307
Tm: 0.544 0.641 0.193
Tm: 0.456 0.359 0.807
Tm: 0.544 0.859 0.693

---

B) TmHgSeO: relaxed, PBE.

Summary:
For the theoretical density, the calculation gives 6.8 Mg/m³.

abc: 4.616 8.882 5.523
angles: 90.00 90.00 90.00
Element x y z (fractional)
Tm: 0.500 0.868 0.045
Tm: 0.500 0.132 0.545
O: 0.500 0.922 0.689
O: 0.500 0.078 0.189
Se: 0.000 0.306 0.631
Se: 0.000 0.694 0.131
Hg: 0.000 0.304 0.126
Hg: 0.000 0.696 0.626

---

Quick one: most stable of them? A)